(1)
This record from Alexandria via LeMat-Bulk describes a geometry-optimized OsPb2Au structure. The functional is PBE-GGA.

Output
Total magnetization: 0.000 μB/atom
DFT formation energy: 2.54 eV/f.u.
Crystal system: tetragonal
Density of states at the Fermi level: 0.743 states/eV per atom
Polymorph energy (0 for the lowest one): 97.1 meV/atom
E: -4.846 eV per atom

abc: 3.3716 3.3716 7.6756
angles: 90.00 90.00 90.00
With the nearest neighbours (Å) after each atom.
Space group P4/mmm (No. 123)
One atom of each set of equivalent atoms:
Os 0.0000 0.0000 0.0000 x1  8 Pb 2.94
Pb 0.5000 0.5000 0.2251 x2  4 Os 2.94, 4 Au 3.18
Au 0.0000 0.0000 0.5000 x1  8 Pb 3.18, 4 Au 3.37

=====

(2)
This record from Alexandria via LeMat-Bulk describes a geometry-optimized Os2PbAu structure. The functional is PBE-GGA.

Output
Total magnetization: 0.000 μB/atom
DFT formation energy: 4.40 eV/f.u.
Crystal system: cubic
Density of states at the Fermi level: 1.186 states/eV per atom
E: -6.262 eV per atom

abc: 6.5778 6.5778 6.5778
angles: 90.00 90.00 90.00
With the nearest neighbours (Å) after each atom.
Space group F-43m (No. 216)
One atom of each set of equivalent atoms:
Os 0.0000 0.0000 0.0000 x4  4 Os 2.85, 4 Pb 2.85
Os 0.2500 0.2500 0.2500 x4  4 Os 2.85, 4 Au 2.85
Pb 0.2500 0.2500 0.7500 x4  4 Os 2.85, 4 Au 2.85
Au 0.0000 0.0000 0.5000 x4  4 Pb 2.85, 4 Os 2.85

=====

(3)
This record from Alexandria via LeMat-Bulk describes a geometry-optimized Os2PbAu structure. The functional is PBE-GGA.

Output
Total magnetization: 0.000 μB/atom
DFT formation energy: 4.05 eV/f.u.
Crystal system: tetragonal
Density of states at the Fermi level: 0.950 states/eV per atom
E: -6.348 eV per atom

abc: 4.1311 4.1311 8.1458
angles: 90.00 90.00 90.00
With the nearest neighbours (Å) after each atom.
Space group I-4m2 (No. 119)
One atom of each set of equivalent atoms:
Os 0.0000 0.0000 0.0000 x2  4 Pb 2.90, 4 Os 2.90, 4 Au 2.92
Os 0.0000 0.5000 0.2500 x2  4 Os 2.90, 4 Au 2.90, 4 Pb 2.92
Pb 0.0000 0.5000 0.7500 x2  8 Os 2.90-2.92, 4 Au 2.90
Au 0.0000 0.0000 0.5000 x2  4 Pb 2.90, 8 Os 2.90-2.92

=====

(4)
This record from Alexandria via LeMat-Bulk describes a geometry-optimized OsPb2Au structure. The functional is PBE-GGA.

Output
Total magnetization: 0.207 μB/atom
DFT formation energy: 3.15 eV/f.u.
Crystal system: cubic
Density of states at the Fermi level: 0.591 states/eV per atom
Polymorph energy (0 for the lowest one): 248.5 meV/atom
E: -4.695 eV per atom

abc: 7.0098 7.0098 7.0098
angles: 90.00 90.00 90.00
With the nearest neighbours (Å) after each atom.
Space group Fm-3m (No. 225)
One atom of each set of equivalent atoms:
Os 0.0000 0.0000 0.0000 x4  8 Pb 3.04
Pb 0.2500 0.2500 0.2500 x8  4 Os 3.04, 4 Au 3.04
Au 0.0000 0.0000 0.5000 x4  8 Pb 3.04

=====

(5)
This record from Alexandria via LeMat-Bulk describes a geometry-optimized Os2PbAu structure. The functional is PBE-GGA.

Output
Total magnetization: 0.000 μB/atom
DFT formation energy: 2.14 eV/f.u.
Crystal system: monoclinic
Density of states at the Fermi level: 0.488 states/eV per atom
E: -6.825 eV per atom

abc: 2.8554 3.5472 7.8009
angles: 90.00 99.99 90.00
With the nearest neighbours (Å) after each atom.
Space group Pm (No. 6)
One atom of each set of equivalent atoms:
Os 0.0000 0.0000 0.0000 x1  6 Os 2.56-2.86
Os 0.4274 0.5000 0.8467 x1  6 Os 2.56-2.86
Pb 0.6262 0.5000 0.2869 x1  2 Pb 2.86, 2 Au 3.04, 4 Os 3.16-3.18
Au 0.8136 0.0000 0.6082 x1  2 Au 2.86, 5 Os 2.92-3.01, 2 Pb 3.04

=====

(6)
This record from Alexandria via LeMat-Bulk describes a geometry-optimized OsPb2Au structure. The functional is PBE-GGA.

Output
Total magnetization: 0.000 μB/atom
DFT formation energy: 3.09 eV/f.u.
Crystal system: monoclinic
Density of states at the Fermi level: 0.792 states/eV per atom
Polymorph energy (0 for the lowest one): 235.3 meV/atom
E: -4.708 eV per atom

abc: 9.1304 3.4207 5.6913
angles: 90.00 101.52 90.00
With the nearest neighbours (Å) after each atom.
Space group C2/m (No. 12)
One atom of each set of equivalent atoms:
Os 0.0000 0.0000 0.0000 x2  6 Pb 2.88-2.94
Pb 0.2392 0.5000 0.2316 x4  3 Os 2.88-2.94, 3 Au 2.90-3.08, 2 Pb 3.18
Au 0.0000 0.5000 0.5000 x2  6 Pb 2.90-3.08